1.
PrNd3Cu4: optimized geometry, PBE-GGA.

a = 5.1037 Å, b = 5.1037 Å, c = 7.1599 Å
α = 90.00°, β = 90.00°, γ = 90.00°
Sites, in units of the cell vectors:
Pr  0.0000  0.0000  0.0000
Nd  0.0000  0.0000  0.5000
Nd  0.5000  0.5000  0.0000
Nd  0.5000  0.5000  0.5000
Cu  0.0000  0.5000  0.2527
Cu  0.0000  0.5000  0.7473
Cu  0.5000  0.0000  0.2527
Cu  0.5000  0.0000  0.7473

Calculated values
For the formation energy, the calculation gives -0.13 eV/atom. Its space-group type is P4/mmm. For the total energy, the calculation gives -36.537 eV for the cell shown.


2.
CdAsN2: optimized geometry, PBE-GGA.

a = 3.6330 Å, b = 3.6330 Å, c = 17.4075 Å
α = 90.00°, β = 90.00°, γ = 120.00°
Sites, in units of the cell vectors:
Cd  0.0000  0.0000  0.0000
Cd  0.3333  0.6667  0.6667
Cd  0.6667  0.3333  0.3333
As  0.0000  0.0000  0.5000
As  0.3333  0.6667  0.1667
As  0.6667  0.3333  0.8333
N  0.0000  0.0000  0.3996
N  0.0000  0.0000  0.6004
N  0.3333  0.6667  0.0663
N  0.3333  0.6667  0.2671
N  0.6667  0.3333  0.7329
N  0.6667  0.3333  0.9337

Calculated values
Its energy relative to the lowest polymorph listed for this composition is 399 meV/atom. The calculation puts the uncorrected formation energy at 3.87 eV/f.u. Its space-group type is R-3m. For the total energy, the calculation gives -55.044 eV for the cell shown.


3.
Sc11Tl9Ga4: optimized geometry, PBE-GGA.

a = 12.8678 Å, b = 12.8678 Å, c = 3.5132 Å
α = 90.00°, β = 90.00°, γ = 113.17°
Sites, in units of the cell vectors:
Sc  0.0000  0.0000  0.0000
Sc  0.0638  0.4109  0.0000
Sc  0.1637  0.8363  0.0000
Sc  0.3004  0.3004  0.0000
Sc  0.3704  0.6296  0.0000
Sc  0.4109  0.0638  0.0000
Sc  0.5891  0.9362  0.0000
Sc  0.6296  0.3704  0.0000
Sc  0.6996  0.6996  0.0000
Sc  0.8363  0.1637  0.0000
Sc  0.9362  0.5891  0.0000
Tl  0.0571  0.2116  0.5000
Tl  0.1490  0.6282  0.5000
Tl  0.2116  0.0571  0.5000
Tl  0.3718  0.8510  0.5000
Tl  0.5000  0.5000  0.5000
Tl  0.6282  0.1490  0.5000
Tl  0.7884  0.9429  0.5000
Tl  0.8510  0.3718  0.5000
Tl  0.9429  0.7884  0.5000
Ga  0.2469  0.4468  0.5000
Ga  0.4468  0.2469  0.5000
Ga  0.5532  0.7531  0.5000
Ga  0.7531  0.5532  0.5000

Calculated values
For the formation energy, the calculation gives -0.32 eV/atom. Its space-group type is Cmmm. For the total energy, the calculation gives -110.614 eV for the cell shown.


4.
Ho3Al3Cu2: optimized geometry, PBE-GGA.

a = 8.0183 Å, b = 14.6571 Å, c = 5.6288 Å
α = 90.00°, β = 90.00°, γ = 90.00°
Sites, in units of the cell vectors:
Ho  0.0376  0.1117  0.1189
Ho  0.0376  0.3883  0.1189
Ho  0.1832  0.2500  0.6147
Ho  0.3168  0.7500  0.1147
Ho  0.4624  0.6117  0.6189
Ho  0.4624  0.8883  0.6189
Ho  0.5376  0.1117  0.3811
Ho  0.5376  0.3883  0.3811
Ho  0.6832  0.2500  0.8853
Ho  0.8168  0.7500  0.3853
Ho  0.9624  0.6117  0.8811
Ho  0.9624  0.8883  0.8811
Al  0.1700  0.7500  0.6028
Al  0.1885  0.0360  0.6105
Al  0.1885  0.4640  0.6105
Al  0.3115  0.5360  0.1105
Al  0.3115  0.9640  0.1105
Al  0.3300  0.2500  0.1028
Al  0.6700  0.7500  0.8972
Al  0.6885  0.0360  0.8895
Al  0.6885  0.4640  0.8895
Al  0.8115  0.5360  0.3895
Al  0.8115  0.9640  0.3895
Al  0.8300  0.2500  0.3972
Cu  0.0974  0.6050  0.3760
Cu  0.0974  0.8950  0.3760
Cu  0.4026  0.1050  0.8760
Cu  0.4026  0.3950  0.8760
Cu  0.5974  0.6050  0.1240
Cu  0.5974  0.8950  0.1240
Cu  0.9026  0.1050  0.6240
Cu  0.9026  0.3950  0.6240

Calculated values
For the formation energy, the calculation gives -0.38 eV/atom. Its space-group type is Pnma. For the total energy, the calculation gives -144.916 eV for the cell shown.